Below is a geometry-optimized YCuAu4 structure, with properties calculated at the GGA-PBE level.

Values from the calculation:
Final energy (eV per atom): -4.232

abc: 5.5133 5.5133 5.5133
angles: 60.00 60.00 60.00
Fractional coordinates of all 6 atoms:
1 Y 0.0000 0.0000 0.0000
2 Cu 0.7500 0.7500 0.7500
3 Au 0.8737 0.3754 0.3754
4 Au 0.3754 0.3754 0.8737
5 Au 0.3754 0.8737 0.3754
6 Au 0.3754 0.3754 0.3754

Below is a geometry-optimized Y2Cu2Au structure, with properties calculated at the GGA-PBE level.

Values from the calculation:
Final energy (eV per atom): -5.317

abc: 4.1214 5.6602 9.9379
angles: 80.51 78.03 68.65
Fractional coordinates of all 10 atoms:
1 Y 0.3099 0.2697 0.1105
2 Y 0.5122 0.3135 0.6621
3 Y 0.6901 0.7303 0.8895
4 Y 0.4878 0.6865 0.3379
5 Cu 0.9726 0.1620 0.8929
6 Cu 0.1292 0.2982 0.4434
7 Cu 0.0274 0.8380 0.1071
8 Cu 0.8708 0.7018 0.5566
9 Au 0.7831 0.1027 0.3310
10 Au 0.2169 0.8973 0.6690

Below is a geometry-optimized Y2CuAu structure, with properties calculated at the GGA-PBE level.

Values from the calculation:
Final energy (eV per atom): -5.455

abc: 6.1418 6.1418 6.1418
angles: 146.09 135.35 57.22
Fractional coordinates of all 4 atoms:
1 Au 0.4656 0.4656 0.0000
2 Cu 0.2756 0.7756 0.5000
3 Y 0.0200 0.0200 0.0000
4 Y 0.7388 0.2388 0.5000

Below is a geometry-optimized Y2Cu15Au2 structure, with properties calculated at the GGA-PBE level.

Values from the calculation:
Final energy (eV per atom): -4.410

abc: 6.5535 6.5535 6.5535
angles: 83.45 83.45 83.45
Fractional coordinates of all 19 atoms:
1 Y 0.3461 0.3461 0.3461
2 Y 0.6539 0.6539 0.6539
3 Cu 0.5000 0.0000 0.0000
4 Cu 0.0000 0.0000 0.5000
5 Cu 0.0000 0.5000 0.0000
6 Cu 0.0000 0.6992 0.3008
7 Cu 0.6992 0.3008 0.0000
8 Cu 0.3008 0.0000 0.6992
9 Cu 0.3008 0.6992 0.0000
10 Cu 0.6992 0.0000 0.3008
11 Cu 0.0000 0.3008 0.6992
12 Cu 0.1605 0.6505 0.6505
13 Cu 0.6505 0.6505 0.1605
14 Cu 0.6505 0.1605 0.6505
15 Cu 0.8395 0.3495 0.3495
16 Cu 0.3495 0.3495 0.8395
17 Cu 0.3495 0.8395 0.3495
18 Au 0.1087 0.1087 0.1087
19 Au 0.8913 0.8913 0.8913

Below is a geometry-optimized Y2Cu2Au structure, with properties calculated at the GGA-PBE level.

Values from the calculation:
Final energy (eV per atom): -5.021

abc: 7.8490 7.8490 3.6871
angles: 90.00 90.00 90.00
Fractional coordinates of all 10 atoms:
1 Y 0.3306 0.8306 0.0000
2 Y 0.8306 0.6694 0.0000
3 Y 0.6694 0.1694 0.0000
4 Y 0.1694 0.3306 0.0000
5 Au 0.0000 0.0000 0.0000
6 Au 0.5000 0.5000 0.0000
7 Cu 0.1159 0.6159 0.5000
8 Cu 0.6159 0.8841 0.5000
9 Cu 0.8841 0.3841 0.5000
10 Cu 0.3841 0.1159 0.5000

Below is a geometry-optimized YCuAu3 structure, with properties calculated at the GGA-PBE level.

Values from the calculation:
Final energy (eV per atom): -4.192

abc: 4.8009 4.8009 4.8009
angles: 90.00 90.00 90.00
Fractional coordinates of all 5 atoms:
1 Y 0.5000 0.5000 0.5000
2 Au 0.0000 0.5000 0.0000
3 Au 0.0000 0.0000 0.5000
4 Au 0.5000 0.0000 0.0000
5 Cu 0.0000 0.0000 0.0000

| no. | energy of formation from the pure elements (eV/atom) | size of the total moment (μB per formula unit) | ρ (g cm⁻³) |
| --- | --- | --- | --- |
| 1 | -0.2870 | 0.00 | 13.18 |
| 2 | -0.4373 | 0.00 | 7.93 |
| 3 | -0.3798 | 0.00 | 8.08 |
| 4 | -0.1503 | 0.00 | 9.16 |
| 5 | -0.1413 | 0.00 | 7.34 |
| 6 | -0.1139 | 0.00 | 11.15 |